The following is a DFT calculation (PBE-GGA) of a relaxed LaTlCl2 crystal.

## Properties
VASP energy in eV per cell: -15.49
Formation energy from raw total energies in meV per atom: -1126
Crystal system: cubic
Fermi-level density of states in states/eV per atom: 1.230
Symmetry: No. 225

Cell and atoms, written as POSCAR:
```
LaTlCl2
1.0
0.000 3.722 3.722
3.722 0.000 3.722
3.722 3.722 0.000
La Tl Cl
1 1 2
Direct
0.000 0.000 0.000 La
0.500 0.500 0.500 Tl
0.250 0.250 0.250 Cl
0.750 0.750 0.750 Cl
```

The following is a DFT calculation (PBE-GGA) of a relaxed Nb2CdTe crystal.

## Properties
VASP energy in eV per cell: -44.98
Formation energy from raw total energies in meV per atom: 426
Crystal system: tetragonal
Fermi-level density of states in states/eV per atom: 0.494
Symmetry: No. 122

Cell and atoms, written as POSCAR:
```
Nb2CdTe
1.0
-2.059 2.059 10.305
2.059 -2.059 10.305
2.059 2.059 -10.305
Nb Cd Te
4 2 2
Direct
0.114 0.625 0.989 Nb
0.375 0.364 0.489 Nb
0.636 0.125 0.011 Nb
0.875 0.886 0.511 Nb
0.000 0.000 0.000 Cd
0.750 0.250 0.500 Cd
0.250 0.750 0.500 Te
0.500 0.500 0.000 Te
```

The following is a DFT calculation (PBE-GGA) of a relaxed LuAlH crystal.

## Properties
VASP energy in eV per cell: -100.74
Crystal system: tetragonal
Fermi-level density of states in states/eV per atom: 0.522
Symmetry: No. 135

Cell and atoms, written as POSCAR:
```
LuAlH
1.0
10.032 0.000 0.000
0.000 10.032 0.000
0.000 0.000 3.918
Lu Al H
8 8 8
Direct
0.109 0.167 0.000 Lu
0.167 0.891 0.500 Lu
0.333 0.391 0.500 Lu
0.391 0.667 0.000 Lu
0.609 0.333 0.000 Lu
0.667 0.609 0.500 Lu
0.833 0.109 0.500 Lu
0.891 0.833 0.000 Lu
0.001 0.635 0.500 Al
0.135 0.501 0.000 Al
0.365 0.001 0.000 Al
0.499 0.135 0.500 Al
0.501 0.865 0.500 Al
0.635 0.999 0.000 Al
0.865 0.499 0.000 Al
0.999 0.365 0.500 Al
0.078 0.084 0.500 H
0.084 0.922 0.000 H
0.416 0.422 0.000 H
0.422 0.584 0.500 H
0.578 0.416 0.500 H
0.584 0.578 0.000 H
0.916 0.078 0.000 H
0.922 0.916 0.500 H
```

Number 1: excess energy over the best structure of this formula in the dataset 300 meV/atom. Number 2: excess energy over the best structure of this formula in the dataset 137 meV/atom. Number 3: excess energy over the best structure of this formula in the dataset 0 meV/atom.